Pr2NdSmP4 | PBE | relaxed

## Properties
Uncorrected energy ... -6.6203 eV per atom
Space group ... P2/m
Total magnetization ... 0.00 μB/f.u.

Lattice parameters (Å, degrees): 7.2227 4.1737 7.2229 90.00 109.45 90.00
Fractional positions:
Pr (0.0000, 0.0000, 0.0000)
Pr (0.0000, 0.5000, 0.5000)
Nd (0.5000, 0.0000, 0.5000)
Sm (0.5000, 0.5000, 0.0000)
P (0.2534, 0.5000, 0.2495)
P (0.2544, 0.0000, 0.7530)
P (0.7456, 0.0000, 0.2470)
P (0.7466, 0.5000, 0.7505)

Pr4ScCd | PBE | relaxed

## Properties
Space group ... C2/c
Energy relative to the lowest polymorph listed for this composition ... 0.098 eV/atom
Total magnetization ... 0.00 μB/f.u.

Lattice parameters (Å, degrees): 8.5700 8.5700 6.2677 100.20 100.20 116.40
Fractional positions:
Pr (0.0934, 0.7065, 0.9482)
Pr (0.1910, 0.4008, 0.6288)
Pr (0.2935, 0.9066, 0.5518)
Pr (0.4008, 0.1910, 0.1288)
Pr (0.5992, 0.8090, 0.8712)
Pr (0.7065, 0.0934, 0.4482)
Pr (0.8090, 0.5992, 0.3712)
Pr (0.9066, 0.2935, 0.0518)
Sc (0.4039, 0.5961, 0.2500)
Sc (0.5961, 0.4039, 0.7500)
Cd (0.0019, 0.9981, 0.2500)
Cd (0.9981, 0.0019, 0.7500)

TbEr2Rh | PBE | relaxed

## Properties
Space group ... Pnma
Energy relative to the lowest polymorph listed for this composition ... 0.000 eV/atom
Total magnetization ... 0.00 μB/f.u.

Lattice parameters (Å, degrees): 7.1418 9.3597 6.3034 90.00 90.00 90.00
Fractional positions:
Tb (0.0342, 0.2500, 0.1354)
Tb (0.4658, 0.7500, 0.6354)
Tb (0.5342, 0.2500, 0.3646)
Tb (0.9658, 0.7500, 0.8646)
Er (0.1771, 0.0635, 0.6712)
Er (0.1771, 0.4365, 0.6712)
Er (0.3229, 0.5635, 0.1712)
Er (0.3229, 0.9365, 0.1712)
Er (0.6771, 0.0635, 0.8288)
Er (0.6771, 0.4365, 0.8288)
Er (0.8229, 0.5635, 0.3288)
Er (0.8229, 0.9365, 0.3288)
Rh (0.1170, 0.7500, 0.4422)
Rh (0.3830, 0.2500, 0.9422)
Rh (0.6170, 0.7500, 0.0578)
Rh (0.8830, 0.2500, 0.5578)

Sr3Cd4Pd8 | PBE | relaxed

## Properties
Uncorrected energy ... -3.8206 eV per atom
Space group ... Fm-3m
Total magnetization ... 0.00 μB/f.u.

Lattice parameters (Å, degrees): 9.6135 9.6135 9.6135 60.00 60.00 60.00
Fractional positions:
Sr (0.2325, 0.2325, 0.7675)
Sr (0.2325, 0.7675, 0.2325)
Sr (0.2325, 0.7675, 0.7675)
Sr (0.7675, 0.2325, 0.2325)
Sr (0.7675, 0.2325, 0.7675)
Sr (0.7675, 0.7675, 0.2325)
Cd (0.0000, 0.0000, 0.0000)
Cd (0.0000, 0.0000, 0.5000)
Cd (0.0000, 0.5000, 0.0000)
Cd (0.0000, 0.5000, 0.5000)
Cd (0.5000, 0.0000, 0.0000)
Cd (0.5000, 0.0000, 0.5000)
Cd (0.5000, 0.5000, 0.0000)
Cd (0.5000, 0.5000, 0.5000)
Pd (0.1258, 0.6247, 0.6247)
Pd (0.1749, 0.1749, 0.1749)
Pd (0.1749, 0.1749, 0.4754)
Pd (0.1749, 0.4754, 0.1749)
Pd (0.3753, 0.3753, 0.3753)
Pd (0.3753, 0.3753, 0.8742)
Pd (0.3753, 0.8742, 0.3753)
Pd (0.4754, 0.1749, 0.1749)
Pd (0.5246, 0.8251, 0.8251)
Pd (0.6247, 0.1258, 0.6247)
Pd (0.6247, 0.6247, 0.1258)
Pd (0.6247, 0.6247, 0.6247)
Pd (0.8251, 0.5246, 0.8251)
Pd (0.8251, 0.8251, 0.5246)
Pd (0.8251, 0.8251, 0.8251)
Pd (0.8742, 0.3753, 0.3753)

NaSiSbTe2 | PBE | relaxed

## Properties
Space group ... P4/mmm
Energy relative to the lowest polymorph listed for this composition ... 0.824 eV/atom
Total magnetization ... 0.00 μB/f.u.
Formation energy without anion corrections ... 474 kJ/mol of formula units

Lattice parameters (Å, degrees): 5.5050 5.5050 5.2505 90.00 90.00 90.00
Fractional positions:
Na (0.0000, 0.0000, 0.0000)
Si (0.5000, 0.5000, 0.5000)
Sb (0.0000, 0.0000, 0.5000)
Te (0.0000, 0.5000, 0.0000)
Te (0.5000, 0.0000, 0.0000)

Na2TePb | PBE | relaxed

## Properties
Space group ... I-42d
Energy relative to the lowest polymorph listed for this composition ... 0.027 eV/atom
Total magnetization ... 0.00 μB/f.u.
Formation energy without anion corrections ... -111 kJ/mol of formula units

Lattice parameters (Å, degrees): 7.0450 7.0450 7.0450 102.62 102.62 124.27
Fractional positions:
Na (0.0947, 0.6250, 0.9697)
Na (0.3750, 0.3447, 0.4697)
Na (0.6553, 0.1250, 0.0303)
Na (0.8750, 0.9053, 0.5303)
Te (0.0000, 0.0000, 0.0000)
Te (0.7500, 0.2500, 0.5000)
Pb (0.2500, 0.7500, 0.5000)
Pb (0.5000, 0.5000, 0.0000)